PBE LiPuPN3, relaxed; total magnetization = 7.20 μB/cell; ρ = 7.49 g/cm³; formation energy (no corrections) = -0.48 eV/atom
1.0
3.468 0.000 0.000
0.000 5.774 1.574
0.000 -0.006 7.167
Li Pu P N
2 2 2 6
Cartesian
0.867 0.458 0.914
2.601 5.309 7.827
0.867 3.099 2.263
2.601 2.668 6.478
0.867 0.793 4.346
2.601 4.974 4.395
2.601 4.653 2.714
0.867 1.115 6.027
0.867 5.503 4.493
2.601 0.265 4.248
2.601 2.046 1.385
0.867 3.722 7.356